No. 1
A relaxed structure of CaIn2Pd. Source: the Alexandria database, functional PBE-GGA.

The space group is I-42d (No. 122) and the conventional cell measures 4.351, 4.351 and 21.181 Å, with angles of 90.00, 90.00 and 90.00 degrees. The asymmetric unit holds Ca at (0.000, 0.000, 0.000), In at (0.223, 0.250, 0.625) and Pd at (0.000, 0.000, 0.500).

The total magnetic moment comes out at 0.00 Bohr magnetons per cell. For the energy relative to the elements, the calculation gives -98 kJ/mol of formula units. The density of states at the Fermi level comes out at 6.6 states/eV/cell.

No. 2
A relaxed structure of CdFeTe2. Source: the Alexandria database, functional PBE-GGA.

The space group is Pmmm (No. 47) and the conventional cell measures 3.890, 4.137 and 6.843 Å, with angles of 90.00, 90.00 and 90.00 degrees. The asymmetric unit holds Cd at (0.000, 0.000, 0.000), Fe at (0.000, 0.500, 0.500), Te at (0.500, 0.000, 0.500) and Te at (0.500, 0.500, 0.000).

The total magnetic moment comes out at 3.65 Bohr magnetons per cell. The density of states at the Fermi level comes out at 4.9 states/eV/cell.

No. 3
A relaxed structure of CsLiSb3. Source: the Alexandria database, functional PBE-GGA.

The space group is Pm-3m (No. 221) and the conventional cell measures 5.368, 5.368 and 5.368 Å, with angles of 90.00, 90.00 and 90.00 degrees. The asymmetric unit holds Cs at (0.000, 0.000, 0.000), Li at (0.500, 0.500, 0.500) and Sb at (0.000, 0.500, 0.500).

The total magnetic moment comes out at 0.00 Bohr magnetons per cell. The energy above the most stable polymorph in this dataset comes out at 0.0 meV per atom. The density of states at the Fermi level comes out at 3.2 states/eV/cell.

No. 4
A relaxed structure of Zr2PbW. Source: the Alexandria database, functional PBE-GGA.

The space group is Pm (No. 6) and the conventional cell measures 3.240, 4.854 and 5.563 Å, with angles of 90.00, 100.36 and 90.00 degrees. The asymmetric unit holds Zr at (0.000, 0.000, 0.000), Zr at (0.208, 0.500, 0.650), Pb at (0.570, 0.500, 0.182) and W at (0.642, 0.000, 0.524).

The total magnetic moment comes out at 0.00 Bohr magnetons per cell. For the energy relative to the elements, the calculation gives 66 kJ/mol of formula units. The density of states at the Fermi level comes out at 3.6 states/eV/cell.

| no. | energy (eV per atom) |
| --- | --- |
| 1 | -3.42 |
| 2 | -3.52 |
| 3 | -2.98 |
| 4 | -8.27 |